P:
Material: NiRhW2
Method: DFT, meta-GGA SCAN
State: PBEsol geometry

Unit cell a=2.689 b=3.843 c=5.326 alpha=90.00 beta=90.00 gamma=90.00
Atoms (fractional coordinates):
Ni 0.000 0.000 0.000
Rh 0.000 0.000 0.500
W 0.500 0.500 0.245
W 0.500 0.500 0.755

magnetic moment	0.001	μB/f.u.
SG	Pmmm

Q:
Material: NiRhW2
Method: DFT, meta-GGA SCAN
State: PBEsol geometry

Unit cell a=8.950 b=8.950 c=8.950 alpha=17.49 beta=17.49 gamma=17.49
Atoms (fractional coordinates):
Ni 0.000 0.000 0.000
Rh 0.747 0.747 0.747
W 0.256 0.256 0.256
W 0.495 0.495 0.495

magnetic moment	0.001	μB/f.u.
SG	R3m

R:
Material: NiRhW2
Method: DFT, meta-GGA SCAN
State: PBEsol geometry

Unit cell a=8.919 b=8.919 c=8.919 alpha=17.50 beta=17.50 gamma=17.50
Atoms (fractional coordinates):
Ni 0.000 0.000 0.000
Rh 0.500 0.500 0.500
W 0.252 0.252 0.252
W 0.748 0.748 0.748

magnetic moment	0.001	μB/f.u.
SG	R-3m

S:
Material: NiRhW2
Method: DFT, meta-GGA SCAN
State: PBEsol geometry

Unit cell a=4.683 b=4.683 c=2.689 alpha=90.00 beta=90.00 gamma=110.73
Atoms (fractional coordinates):
Ni 0.000 0.000 0.000
Rh 0.500 0.500 0.000
W 0.000 0.500 0.500
W 0.500 0.000 0.500

magnetic moment	0.000	μB/f.u.
SG	Cmmm

Most stable pick: P. Distance to second place: 16 meV per atom.

P:
Material: NiRh2W
Method: DFT, meta-GGA SCAN
State: PBEsol geometry

Unit cell a=2.702 b=3.673 c=5.355 alpha=90.00 beta=90.00 gamma=90.00
Atoms (fractional coordinates):
Ni 0.000 0.000 0.000
Rh 0.500 0.500 0.240
Rh 0.500 0.500 0.760
W 0.000 0.000 0.500

magnetic moment	0.003	μB/f.u.
SG	Pmmm

Q:
Material: NiRh2W
Method: DFT, meta-GGA SCAN
State: PBEsol geometry

Unit cell a=4.633 b=4.633 c=4.633 alpha=132.61 beta=132.61 gamma=69.27
Atoms (fractional coordinates):
Ni 0.000 0.000 0.000
Rh 0.250 0.750 0.500
Rh 0.500 0.500 0.000
W 0.750 0.250 0.500

magnetic moment	0.006	μB/f.u.
SG	I-4m2

R:
Material: NiRh2W
Method: DFT, meta-GGA SCAN
State: PBEsol geometry

Unit cell a=4.552 b=4.552 c=4.552 alpha=130.78 beta=130.78 gamma=72.16
Atoms (fractional coordinates):
Ni 0.000 0.000 0.000
Rh 0.250 0.750 0.500
Rh 0.750 0.250 0.500
W 0.500 0.500 0.000

magnetic moment	0.000	μB/f.u.
SG	I4/mmm

S:
Material: NiRh2W
Method: DFT, meta-GGA SCAN
State: PBEsol geometry

Unit cell a=3.793 b=3.793 c=3.673 alpha=90.00 beta=90.00 gamma=90.00
Atoms (fractional coordinates):
Ni 0.000 0.000 0.000
Rh 0.000 0.500 0.500
Rh 0.500 0.000 0.500
W 0.500 0.500 0.000

magnetic moment	0.000	μB/f.u.
SG	P4/mmm

Most stable pick: R. Distance to second place: 58 meV per atom.

P:
Material: TcNi2Ru
Method: DFT, meta-GGA SCAN
State: PBEsol geometry

Unit cell a=2.627 b=3.605 c=5.102 alpha=90.00 beta=90.00 gamma=90.00
Atoms (fractional coordinates):
Tc 0.000 0.000 0.000
Ni 0.000 0.000 0.483
Ni 0.500 0.500 0.258
Ru 0.500 0.500 0.745

magnetic moment	0.000	μB/f.u.
SG	Pmm2

Q:
Material: TcNi2Ru
Method: DFT, meta-GGA SCAN
State: PBEsol geometry

Unit cell a=4.469 b=4.469 c=4.428 alpha=99.69 beta=99.69 gamma=33.61
Atoms (fractional coordinates):
Tc 0.000 0.000 0.000
Ni 0.496 0.496 0.489
Ni 0.749 0.749 0.262
Ru 0.244 0.244 0.753

magnetic moment	0.000	μB/f.u.
SG	Cm

Most stable pick: P. Distance to second place: 10 meV per atom.